Entry 1:
# LiTcTe2C PBEsol optimized geometry
data_LiTcTe2C
_space_group_name_H-M_alt 'P 1'
_space_group_IT_number 1
_space_group_name_Hall 'P 1'
_cell_length_a 4.8912
_cell_length_b 4.8912
_cell_length_c 3.8869
_cell_angle_alpha 90.00
_cell_angle_beta 90.00
_cell_angle_gamma 90.00
loop_
_atom_site_label
_atom_site_fract_x
_atom_site_fract_y
_atom_site_fract_z
Li1 0.0000 0.0000 0.0000
Tc1 0.5000 0.5000 0.0000
Te1 0.0000 0.5000 0.5000
Te2 0.5000 0.0000 0.5000
C1 0.5000 0.5000 0.5000
# DOS(E_F), states/eV/atom: 0.69
# E_form (uncorrected), eV per formula unit: 2.91
# Symmetry: P4/mmm (123)

Entry 2:
# Li3CrFe4O8 PBEsol optimized geometry
data_Li3CrFe4O8
_space_group_name_H-M_alt 'P 1'
_space_group_IT_number 1
_space_group_name_Hall 'P 1'
_cell_length_a 5.8273
_cell_length_b 5.8273
_cell_length_c 5.8694
_cell_angle_alpha 120.21
_cell_angle_beta 120.21
_cell_angle_gamma 60.05
loop_
_atom_site_label
_atom_site_fract_x
_atom_site_fract_y
_atom_site_fract_z
Li1 0.0000 0.0000 0.0000
Li2 0.0000 0.5000 0.5000
Li3 0.5000 0.0000 0.5000
Cr1 0.5000 0.5000 0.5000
Fe1 0.0000 0.0000 0.5000
Fe2 0.0000 0.5000 0.0000
Fe3 0.5000 0.0000 0.0000
Fe4 0.5000 0.5000 0.0000
O1 0.2502 0.2502 0.7470
O2 0.2556 0.7393 0.7395
O3 0.2591 0.2591 0.2471
O4 0.2607 0.7444 0.2605
O5 0.7393 0.2556 0.7395
O6 0.7409 0.7409 0.7529
O7 0.7444 0.2607 0.2605
O8 0.7498 0.7498 0.2530
# DOS(E_F), states/eV/atom: 0.47
# E_form (uncorrected), eV per formula unit: -24.09
# Symmetry: C2/m (12)

Entry 3:
# BeIn2Br PBEsol optimized geometry
data_BeIn2Br
_space_group_name_H-M_alt 'P 1'
_space_group_IT_number 1
_space_group_name_Hall 'P 1'
_cell_length_a 5.4684
_cell_length_b 5.4684
_cell_length_c 3.2143
_cell_angle_alpha 102.28
_cell_angle_beta 102.28
_cell_angle_gamma 89.07
loop_
_atom_site_label
_atom_site_fract_x
_atom_site_fract_y
_atom_site_fract_z
Be1 0.0000 0.0000 0.0000
In1 0.0000 0.5000 0.5000
In2 0.5000 0.0000 0.5000
Br1 0.5000 0.5000 0.0000
# DOS(E_F), states/eV/atom: 0.35
# E_form (uncorrected), eV per formula unit: 1.05
# Energy above the lowest structure with this stoichiometry, meV/atom: 0
# Symmetry: C2/m (12)

Entry 4:
# Cd5SiP2O12 PBEsol optimized geometry
data_Cd5SiP2O12
_space_group_name_H-M_alt 'P 1'
_space_group_IT_number 1
_space_group_name_Hall 'P 1'
_cell_length_a 6.7613
_cell_length_b 10.1941
_cell_length_c 14.9173
_cell_angle_alpha 90.00
_cell_angle_beta 90.00
_cell_angle_gamma 90.00
loop_
_atom_site_label
_atom_site_fract_x
_atom_site_fract_y
_atom_site_fract_z
Cd1 0.0747 0.1602 0.3613
Cd2 0.0983 0.1699 0.6478
Cd3 0.1051 0.5592 0.3350
Cd4 0.1058 0.5547 0.6540
Cd5 0.1968 0.2182 0.9918
Cd6 0.3032 0.7818 0.4918
Cd7 0.3942 0.4453 0.1540
Cd8 0.3949 0.4408 0.8350
Cd9 0.4017 0.8301 0.1478
Cd10 0.4253 0.8398 0.8613
Cd11 0.5747 0.3398 0.6387
Cd12 0.5983 0.3301 0.3522
Cd13 0.6051 0.9408 0.6650
Cd14 0.6058 0.9453 0.3460
Cd15 0.6968 0.2818 0.0082
Cd16 0.8032 0.7182 0.5082
Cd17 0.8942 0.0547 0.8460
Cd18 0.8949 0.0592 0.1650
Cd19 0.9017 0.6699 0.8522
Cd20 0.9253 0.6602 0.1387
Si1 0.0967 0.8604 0.3258
Si2 0.4033 0.1396 0.8258
Si3 0.5967 0.6396 0.6742
Si4 0.9033 0.3604 0.1742
P1 0.1069 0.8748 0.6856
P2 0.2402 0.5874 0.9943
P3 0.2598 0.4126 0.4943
P4 0.3931 0.1252 0.1856
P5 0.6069 0.6252 0.3144
P6 0.7402 0.9126 0.0057
P7 0.7598 0.0874 0.5057
P8 0.8931 0.3748 0.8144
O1 0.0139 0.6136 0.9910
O2 0.0231 0.7538 0.4028
O3 0.0629 0.7781 0.6070
O4 0.0717 0.4701 0.7978
O5 0.0739 0.4726 0.1943
O6 0.1508 0.7686 0.2387
O7 0.1511 0.7914 0.7703
O8 0.1591 0.3580 0.4088
O9 0.1765 0.3562 0.5830
O10 0.2099 0.5615 0.4969
O11 0.2158 0.0618 0.8736
O12 0.2231 0.0319 0.1587
O13 0.2769 0.9681 0.6587
O14 0.2842 0.9382 0.3736
O15 0.2901 0.4385 0.9969
O16 0.3235 0.6438 0.0830
O17 0.3409 0.6420 0.9088
O18 0.3489 0.2086 0.2703
O19 0.3492 0.2314 0.7387
O20 0.4261 0.5274 0.6943
O21 0.4283 0.5299 0.2978
O22 0.4371 0.2219 0.1070
O23 0.4769 0.2462 0.9028
O24 0.4861 0.3864 0.4910
O25 0.5139 0.8864 0.0090
O26 0.5231 0.7462 0.5972
O27 0.5629 0.7219 0.3930
O28 0.5717 0.0299 0.2022
O29 0.5739 0.0274 0.8057
O30 0.6511 0.7086 0.2297
O31 0.6508 0.7314 0.7613
O32 0.6591 0.1420 0.5912
O33 0.6765 0.1438 0.4170
O34 0.7099 0.9385 0.5031
O35 0.7158 0.4382 0.1264
O36 0.7231 0.4681 0.8413
O37 0.7769 0.5319 0.3413
O38 0.7842 0.5618 0.6264
O39 0.7901 0.0615 0.0031
O40 0.8235 0.8562 0.9170
O41 0.8409 0.8580 0.0912
O42 0.8492 0.2686 0.2613
O43 0.8489 0.2914 0.7297
O44 0.9261 0.9726 0.3057
O45 0.9283 0.9701 0.7022
O46 0.9371 0.2781 0.8930
O47 0.9769 0.2538 0.0972
O48 0.9861 0.1136 0.5090
# DOS(E_F), states/eV/atom: 0.00
# E_form (uncorrected), eV per formula unit: -36.36
# Symmetry: P2_12_12_1 (19)

Entry 5:
# LiMoOs2 PBEsol optimized geometry
data_LiMoOs2
_space_group_name_H-M_alt 'P 1'
_space_group_IT_number 1
_space_group_name_Hall 'P 1'
_cell_length_a 9.1098
_cell_length_b 9.1098
_cell_length_c 9.1098
_cell_angle_alpha 17.13
_cell_angle_beta 17.13
_cell_angle_gamma 17.13
loop_
_atom_site_label
_atom_site_fract_x
_atom_site_fract_y
_atom_site_fract_z
Li1 0.0000 0.0000 0.0000
Mo1 0.5000 0.5000 0.5000
Os1 0.2480 0.2480 0.2480
Os2 0.7520 0.7520 0.7520
# DOS(E_F), states/eV/atom: 0.73
# Energy above the lowest structure with this stoichiometry, meV/atom: 42
# Symmetry: R-3m (166)
# Energy relative to the elements, eV/f.u.: 0.77

Entry 6:
# NaCuP2O7 PBEsol optimized geometry
data_NaCuP2O7
_space_group_name_H-M_alt 'P 1'
_space_group_IT_number 1
_space_group_name_Hall 'P 1'
_cell_length_a 4.8794
_cell_length_b 13.7699
_cell_length_c 9.7396
_cell_angle_alpha 90.00
_cell_angle_beta 117.34
_cell_angle_gamma 90.00
loop_
_atom_site_label
_atom_site_fract_x
_atom_site_fract_y
_atom_site_fract_z
Na1 0.0819 0.1293 0.3509
Na2 0.0819 0.3707 0.8509
Na3 0.9181 0.6293 0.1491
Na4 0.9181 0.8707 0.6491
Cu1 0.0309 0.1545 0.7406
Cu2 0.0309 0.3455 0.2406
Cu3 0.9691 0.6545 0.7594
Cu4 0.9691 0.8455 0.2594
P1 0.2968 0.6775 0.5627
P2 0.2968 0.8225 0.0627
P3 0.4940 0.5314 0.7796
P4 0.4940 0.9686 0.2796
P5 0.5060 0.0314 0.7204
P6 0.5060 0.4686 0.2204
P7 0.7032 0.1775 0.9373
P8 0.7032 0.3225 0.4373
O1 0.0794 0.6954 0.3974
O2 0.0794 0.8046 0.8974
O3 0.1988 0.7182 0.6825
O4 0.1988 0.7818 0.1825
O5 0.2403 0.1066 0.6382
O6 0.2403 0.3934 0.1382
O7 0.2471 0.5515 0.8364
O8 0.2471 0.9485 0.3364
O9 0.3385 0.5617 0.5974
O10 0.3385 0.9383 0.0974
O11 0.3755 0.2185 0.8916
O12 0.3755 0.2815 0.3916
O13 0.4203 0.5729 0.2021
O14 0.4203 0.9271 0.7021
O15 0.5797 0.0729 0.2979
O16 0.5797 0.4271 0.7979
O17 0.6245 0.7185 0.6084
O18 0.6245 0.7815 0.1084
O19 0.6615 0.0617 0.9026
O20 0.6615 0.4383 0.4026
O21 0.7529 0.0515 0.6636
O22 0.7529 0.4485 0.1636
O23 0.7597 0.6066 0.8618
O24 0.7597 0.8934 0.3618
O25 0.8012 0.2182 0.8175
O26 0.8012 0.2818 0.3175
O27 0.9206 0.1954 0.1026
O28 0.9206 0.3046 0.6026
# E_form (uncorrected), eV per formula unit: -19.52
# Symmetry: P2_1/c (14)

Entry 7:
# BeP2Cl PBEsol optimized geometry
data_BeP2Cl
_space_group_name_H-M_alt 'P 1'
_space_group_IT_number 1
_space_group_name_Hall 'P 1'
_cell_length_a 4.3178
_cell_length_b 4.3178
_cell_length_c 4.3178
_cell_angle_alpha 60.00
_cell_angle_beta 60.00
_cell_angle_gamma 60.00
loop_
_atom_site_label
_atom_site_fract_x
_atom_site_fract_y
_atom_site_fract_z
Be1 0.0000 0.0000 0.0000
P1 0.2500 0.2500 0.2500
P2 0.7500 0.7500 0.7500
Cl1 0.5000 0.5000 0.5000
# DOS(E_F), states/eV/atom: 0.48
# E_form (uncorrected), eV per formula unit: 3.31
# Energy above the lowest structure with this stoichiometry, meV/atom: 645
# Symmetry: Fm-3m (225)

Entry 8:
# Na2ZnSe2 PBEsol optimized geometry
data_Na2ZnSe2
_space_group_name_H-M_alt 'P 1'
_space_group_IT_number 1
_space_group_name_Hall 'P 1'
_cell_length_a 7.3437
_cell_length_b 7.3437
_cell_length_c 7.3437
_cell_angle_alpha 126.71
_cell_angle_beta 75.11
_cell_angle_gamma 131.23
loop_
_atom_site_label
_atom_site_fract_x
_atom_site_fract_y
_atom_site_fract_z
Na1 0.1379 0.1596 0.2975
Na2 0.3621 0.6596 0.0217
Na3 0.6379 0.3404 0.9783
Na4 0.8621 0.8404 0.7025
Zn1 0.2500 0.7500 0.5000
Zn2 0.7500 0.2500 0.5000
Se1 0.1156 0.7143 0.8300
Se2 0.3844 0.2143 0.5987
Se3 0.6156 0.7857 0.4013
Se4 0.8844 0.2857 0.1700
# DOS(E_F), states/eV/atom: 0.00
# E_form (uncorrected), eV per formula unit: -4.56
# Symmetry: Ibam (72)

Entry 9:
# ScIn7 PBEsol optimized geometry
data_ScIn7
_space_group_name_H-M_alt 'P 1'
_space_group_IT_number 1
_space_group_name_Hall 'P 1'
_cell_length_a 6.4531
_cell_length_b 6.4531
_cell_length_c 6.4531
_cell_angle_alpha 60.00
_cell_angle_beta 60.00
_cell_angle_gamma 60.00
loop_
_atom_site_label
_atom_site_fract_x
_atom_site_fract_y
_atom_site_fract_z
Sc1 0.0000 0.0000 0.0000
In1 0.0000 0.0000 0.5000
In2 0.0000 0.5000 0.0000
In3 0.0000 0.5000 0.5000
In4 0.5000 0.0000 0.0000
In5 0.5000 0.0000 0.5000
In6 0.5000 0.5000 0.0000
In7 0.5000 0.5000 0.5000
# DOS(E_F), states/eV/atom: 0.49
# Symmetry: Fm-3m (225)
# Energy relative to the elements, eV/f.u.: -1.15

Entry 10:
# SrCdRu2 PBEsol optimized geometry
data_SrCdRu2
_space_group_name_H-M_alt 'P 1'
_space_group_IT_number 1
_space_group_name_Hall 'P 1'
_cell_length_a 4.9733
_cell_length_b 2.9572
_cell_length_c 5.2020
_cell_angle_alpha 90.00
_cell_angle_beta 110.07
_cell_angle_gamma 90.00
loop_
_atom_site_label
_atom_site_fract_x
_atom_site_fract_y
_atom_site_fract_z
Sr1 0.0000 0.0000 0.0000
Cd1 0.0000 0.5000 0.5000
Ru1 0.5000 0.0000 0.5000
Ru2 0.5000 0.5000 0.0000
# DOS(E_F), states/eV/atom: 1.34
# Symmetry: P2/m (10)
# Energy relative to the elements, eV/f.u.: 2.94

Entry 11:
# BeAsCl2 PBEsol optimized geometry
data_BeAsCl2
_space_group_name_H-M_alt 'P 1'
_space_group_IT_number 1
_space_group_name_Hall 'P 1'
_cell_length_a 11.4633
_cell_length_b 11.4633
_cell_length_c 11.4633
_cell_angle_alpha 16.23
_cell_angle_beta 16.23
_cell_angle_gamma 16.23
loop_
_atom_site_label
_atom_site_fract_x
_atom_site_fract_y
_atom_site_fract_z
Be1 0.0000 0.0000 0.0000
As1 0.5000 0.5000 0.5000
Cl1 0.0525 0.0525 0.0525
Cl2 0.9475 0.9475 0.9475
# DOS(E_F), states/eV/atom: 0.31
# E_form (uncorrected), eV per formula unit: -0.58
# Energy above the lowest structure with this stoichiometry, meV/atom: 0
# Symmetry: R-3m (166)